# Al2SiCCl

A crystal of Al2SiCCl relaxed with PBEsol (SCAN, Alexandria). Values from VASP.

For the total energy, the calculation gives -39.60 eV/cell. The calculation puts the magnetic moment at 0.0 μB/f.u. The symmetry is P4/mmm (123). The crystal system is tetragonal.

Geometry as Quantum ESPRESSO input:
```
&SYSTEM
  ibrav = 0, nat = 5, ntyp = 4
/
ATOMIC_SPECIES
Al 26.98 Al.upf
C 12.01 C.upf
Si 28.09 Si.upf
Cl 35.45 Cl.upf
ATOMIC_POSITIONS angstrom
Al 1.684 0.405 1.580
Al 1.322 -1.669 -0.981
C 0.000 0.000 0.000
Si -0.749 -1.251 1.119
Cl 2.258 -2.515 1.718
CELL_PARAMETERS angstrom
-1.497 -2.502 2.239
2.644 -3.338 -1.963
3.369 0.811 3.160
```